## Al4ReAu (GGA-PBE)

Data for Al4ReAu after structural relaxation.

The space group is F-43m (216). The value obtained for the formation energy is 0.162 eV per atom. The calculated density is 8.89 g cm⁻³. The volume is 15.3 Å³/atom. As for the magnetic moment: 0.000 Bohr magnetons per cell.

a b c (Å): 5.0628 5.0628 5.0628
angles (deg): 60.00 60.00 60.00
Closest atoms and distances in Å follow each position.
Sites, in units of the cell vectors:
1 Al 0.1249 0.1249 0.1249  6 Al 2.53
2 Al 0.1249 0.1249 0.6254  6 Al 2.53
3 Al 0.1249 0.6254 0.1249  6 Al 2.53
4 Al 0.6254 0.1249 0.1249  6 Al 2.53
5 Re 0.5000 0.5000 0.5000  12 Al 2.97, 4 Au 3.10
6 Au 0.7500 0.7500 0.7500  12 Al 2.97, 4 Re 3.10



## Al2ReAu (GGA-PBE)

Data for Al2ReAu after structural relaxation.

The space group is F-43m (216). The value obtained for the formation energy is 0.260 eV per atom. The calculated density is 11.52 g cm⁻³. The volume is 15.8 Å³/atom. As for the magnetic moment: 0.000 Bohr magnetons per cell.

a b c (Å): 6.3169 6.3169 6.3169
angles (deg): 90.00 90.00 90.00
Closest atoms and distances in Å follow each position.
Sites, in units of the cell vectors:
1 Al 0.0000 0.0000 0.0000  4 Al 2.74, 4 Au 2.74
2 Al 0.0000 0.5000 0.5000  4 Al 2.74, 4 Au 2.74
3 Al 0.2500 0.2500 0.2500  4 Re 2.74, 4 Al 2.74
4 Al 0.2500 0.7500 0.7500  4 Re 2.74, 4 Al 2.74
5 Al 0.5000 0.0000 0.5000  4 Al 2.74, 4 Au 2.74
6 Al 0.5000 0.5000 0.0000  4 Al 2.74, 4 Au 2.74
7 Al 0.7500 0.2500 0.7500  4 Re 2.74, 4 Al 2.74
8 Al 0.7500 0.7500 0.2500  4 Re 2.74, 4 Al 2.74
9 Re 0.0000 0.0000 0.5000  4 Au 2.74, 4 Al 2.74
10 Re 0.0000 0.5000 0.0000  4 Au 2.74, 4 Al 2.74
11 Re 0.5000 0.0000 0.0000  4 Au 2.74, 4 Al 2.74
12 Re 0.5000 0.5000 0.5000  4 Au 2.74, 4 Al 2.74
13 Au 0.2500 0.2500 0.7500  4 Re 2.74, 4 Al 2.74
14 Au 0.2500 0.7500 0.2500  4 Re 2.74, 4 Al 2.74
15 Au 0.7500 0.2500 0.2500  4 Re 2.74, 4 Al 2.74
16 Au 0.7500 0.7500 0.7500  4 Re 2.74, 4 Al 2.74



## AlRe2Au (GGA-PBE)

Data for AlRe2Au after structural relaxation.

The space group is Cmmm (65). The value obtained for the formation energy is 0.307 eV per atom. The calculated density is 15.87 g cm⁻³. The volume is 15.6 Å³/atom. As for the magnetic moment: 0.000 Bohr magnetons per cell.

a b c (Å): 3.0962 4.4339 9.0914
angles (deg): 90.00 90.00 90.00
Closest atoms and distances in Å follow each position.
Sites, in units of the cell vectors:
1 Al 0.0000 0.0000 0.0000  4 Re 2.62, 4 Al 2.70
2 Al 0.5000 0.5000 0.0000  4 Re 2.62, 4 Al 2.70
3 Re 0.0000 0.5000 0.2325  2 Al 2.62, 4 Re 2.70, 2 Au 2.88
4 Re 0.0000 0.5000 0.7675  2 Al 2.62, 4 Re 2.70, 2 Au 2.88
5 Re 0.5000 0.0000 0.2325  2 Al 2.62, 4 Re 2.70, 2 Au 2.88
6 Re 0.5000 0.0000 0.7675  2 Al 2.62, 4 Re 2.70, 2 Au 2.88
7 Au 0.0000 0.0000 0.5000  4 Au 2.70, 4 Re 2.88
8 Au 0.5000 0.5000 0.5000  4 Au 2.70, 4 Re 2.88



## AlReAu2 (GGA-PBE)

Data for AlReAu2 after structural relaxation.

The space group is Amm2 (38). The value obtained for the formation energy is 0.124 eV per atom. The calculated density is 15.42 g cm⁻³. The volume is 16.3 Å³/atom. As for the magnetic moment: 0.000 Bohr magnetons per cell.

a b c (Å): 4.2273 2.8127 10.9950
angles (deg): 90.00 90.00 90.00
Closest atoms and distances in Å follow each position.
Sites, in units of the cell vectors:
1 Al 0.0000 0.0000 0.0000  3 Au 2.55-2.64, 4 Re 2.72, 2 Al 2.81
2 Al 0.0000 0.5000 0.5000  3 Au 2.55-2.64, 4 Re 2.72, 2 Al 2.81
3 Re 0.5000 0.0000 0.4120  4 Al 2.72, 2 Re 2.81, 7 Au 2.91-2.99
4 Re 0.5000 0.5000 0.9120  4 Al 2.72, 2 Re 2.81, 7 Au 2.91-2.99
5 Au 0.0000 0.0000 0.7680  1 Al 2.55, 2 Au 2.81
6 Au 0.0000 0.5000 0.2680  1 Al 2.55, 2 Au 2.81
7 Au 0.5000 0.0000 0.1434  2 Al 2.64, 6 Au 2.81-2.88, 3 Re 2.91-2.95
8 Au 0.5000 0.5000 0.6434  2 Al 2.64, 6 Au 2.81-2.88, 3 Re 2.91-2.95